1.
Cu2SiNi: optimized geometry, PBE.

Output
Energy relative to the elements, uncorrected = -0.183 eV per atom
Crystal system = orthorhombic

Cell and atoms, written as CIF:
```
data_Cu2SiNi
_chemical_formula_sum 'Cu4 Si2 Ni2'
_cell_length_a 3.479
_cell_length_b 3.492
_cell_length_c 7.594
_cell_angle_alpha 90.00
_cell_angle_beta 90.00
_cell_angle_gamma 90.00
_symmetry_space_group_name_H-M 'I m m m'
_symmetry_Int_Tables_number 71
_symmetry_space_group_name_Hall '-I 2 2'
loop_
_atom_site_label
_atom_site_type_symbol
_atom_site_fract_x
_atom_site_fract_y
_atom_site_fract_z
Cu1 Cu 0.000 0.000 0.250
Si1 Si 0.000 0.500 0.000
Ni1 Ni 0.000 0.500 0.500
```

---

2.
Rb3Cu2I2Cl4: optimized geometry, PBE.

Output
Energy relative to the elements, uncorrected = -1.120 eV per atom
Crystal system = tetragonal

Cell and atoms, written as CIF:
```
data_Rb3Cu2I2Cl4
_chemical_formula_sum 'Rb6 Cu4 I4 Cl8'
_cell_length_a 4.927
_cell_length_b 4.927
_cell_length_c 28.470
_cell_angle_alpha 90.00
_cell_angle_beta 90.00
_cell_angle_gamma 90.00
_symmetry_space_group_name_H-M 'I 4/m m m'
_symmetry_Int_Tables_number 139
_symmetry_space_group_name_Hall '-I 4 2'
loop_
_atom_site_label
_atom_site_type_symbol
_atom_site_fract_x
_atom_site_fract_y
_atom_site_fract_z
Rb1 Rb 0.000 0.000 0.000
Rb2 Rb 0.000 0.000 0.165
Cu1 Cu 0.000 0.000 0.401
I1 I 0.000 0.000 0.306
Cl1 Cl 0.000 0.500 0.081
```

---

3.
Rb2CdBiO4: optimized geometry, PBE.

Output
Energy relative to the elements, uncorrected = -1.177 eV per atom
Crystal system = monoclinic

Cell and atoms, written as CIF:
```
data_Rb2CdBiO4
_chemical_formula_sum 'Rb4 Cd2 Bi2 O8'
_cell_length_a 8.433
_cell_length_b 8.361
_cell_length_c 6.316
_cell_angle_alpha 90.00
_cell_angle_beta 130.19
_cell_angle_gamma 90.00
_symmetry_space_group_name_H-M 'C 1 2 1'
_symmetry_Int_Tables_number 5
loop_
_symmetry_equiv_pos_as_xyz
'x,y,z'
'-x,y,-z'
'x+1/2,y+1/2,z'
'-x+1/2,y+1/2,-z'
loop_
_atom_site_label
_atom_site_type_symbol
_atom_site_fract_x
_atom_site_fract_y
_atom_site_fract_z
Rb1 Rb 0.000 0.000 0.000
Rb2 Rb 0.000 0.247 0.500
Cd1 Cd 0.000 0.474 0.000
Bi1 Bi 0.000 0.725 0.500
O1 O 0.155 0.568 0.421
O2 O 0.250 0.314 0.085
```

---

4.
Pm2CuI: optimized geometry, PBE.

Output
Energy relative to the elements, uncorrected = -0.500 eV per atom
Energy relative to the lowest polymorph listed for this composition = 0 meV per atom
Crystal system = trigonal

Cell and atoms, written as CIF:
```
data_Pm2CuI
_chemical_formula_sum 'Pm6 Cu3 I3'
_cell_length_a 4.1948
_cell_length_b 4.1948
_cell_length_c 23.3849
_cell_angle_alpha 90.00
_cell_angle_beta 90.00
_cell_angle_gamma 120.00
_symmetry_space_group_name_H-M 'R -3 m'
_symmetry_Int_Tables_number 166
_symmetry_space_group_name_Hall '-R 3 2"'
loop_
_atom_site_label
_atom_site_type_symbol
_atom_site_fract_x
_atom_site_fract_y
_atom_site_fract_z
Pm1 Pm 0.0000 0.0000 0.2335
Cu1 Cu 0.0000 0.0000 0.5000
I1 I 0.0000 0.0000 0.0000
```

---

5.
PmTlHg2Br8: optimized geometry, PBE.

Output
Energy relative to the elements, uncorrected = -0.972 eV per atom
Crystal system = triclinic

Cell and atoms, written as CIF:
```
data_PmTlHg2Br8
_chemical_formula_sum 'Pm1 Tl1 Hg2 Br8'
_cell_length_a 6.915
_cell_length_b 8.125
_cell_length_c 9.649
_cell_angle_alpha 110.76
_cell_angle_beta 91.41
_cell_angle_gamma 96.66
_symmetry_space_group_name_H-M 'P -1'
_symmetry_Int_Tables_number 2
loop_
_symmetry_equiv_pos_as_xyz
'x,y,z'
'-x,-y,-z'
loop_
_atom_site_label
_atom_site_type_symbol
_atom_site_fract_x
_atom_site_fract_y
_atom_site_fract_z
Pm1 Pm 0.000 0.000 0.000
Tl1 Tl 0.000 0.000 0.500
Hg1 Hg 0.433 0.265 0.303
Br1 Br 0.175 0.805 0.730
Br2 Br 0.230 0.877 0.182
Br3 Br 0.306 0.307 0.063
Br4 Br 0.398 0.308 0.575
```

---

6.
TiGa2Ru: optimized geometry, PBE.

Output
Calculated formation energy = -0.36 eV per atom
Crystal system = tetragonal

Cell and atoms, written as CIF:
```
data_TiGa2Ru
_chemical_formula_sum 'Ti1 Ga2 Ru1'
_cell_length_a 3.046
_cell_length_b 3.046
_cell_length_c 6.468
_cell_angle_alpha 90.00
_cell_angle_beta 90.00
_cell_angle_gamma 90.00
_symmetry_space_group_name_H-M 'P 4/m m m'
_symmetry_Int_Tables_number 123
_symmetry_space_group_name_Hall '-P 4 2'
loop_
_atom_site_label
_atom_site_type_symbol
_atom_site_fract_x
_atom_site_fract_y
_atom_site_fract_z
Ti1 Ti 0.000 0.000 0.000
Ga1 Ga 0.500 0.500 0.276
Ru1 Ru 0.000 0.000 0.500
```

---

What total moment values result from the calculations? In sequence: 0.00, 0.00, 0.11, 0.00, 0.00, 0.00 μB per atom.
What raw total energy values result from the calculations? In sequence: -5.032, -3.082, -4.497, -4.287, -2.731, -6.165 eV per atom.